1.
The following is a DFT calculation (PBE-GGA) of a geometry-optimized LaSmPd2 structure.

As for the energy of formation from the pure elements: -3.38 eV per formula unit.

The space group is Amm2 (No. 38) and the conventional cell measures 4.645, 3.866 and 10.877 Å, with angles of 90.00, 90.00 and 90.00 degrees. The inequivalent atoms are La at (0.000, 0.000, 0.000), Sm at (0.500, 0.000, 0.727), Pd at (0.000, 0.000, 0.276) and Pd at (0.500, 0.000, 0.450).

=====

2.
The following is a DFT calculation (PBE-GGA) of a geometry-optimized LiAlFeHg structure.

As for the offset from the most stable computed form: 0 meV per atom.

The space group is F-43m (No. 216) and the conventional cell measures 6.224, 6.224 and 6.224 Å, with angles of 90.00, 90.00 and 90.00 degrees. The inequivalent atoms are Li at (0.000, 0.000, 0.000), Al at (0.250, 0.250, 0.250), Fe at (0.000, 0.000, 0.500) and Hg at (0.250, 0.250, 0.750).

=====

3.
The following is a DFT calculation (PBE-GGA) of a geometry-optimized DyTmCo2Si4 structure.

As for the total energy: -6.40 eV per atom.

The space group is Amm2 (No. 38) and the conventional cell measures 3.942, 3.987 and 16.266 Å, with angles of 90.00, 90.00 and 90.00 degrees. The inequivalent atoms are Dy at (0.000, 0.000, 0.000), Tm at (0.500, 0.000, 0.784), Co at (0.000, 0.000, 0.214), Co at (0.500, 0.000, 0.571), Si at (0.000, 0.000, 0.350), Si at (0.000, 0.000, 0.643), Si at (0.500, 0.000, 0.143) and Si at (0.500, 0.000, 0.435).